Tb8Pm4Sm3 | PBE-GGA | optimized geometry

Results
E_form (eV/atom): 0.13
Relative energy among the computed polymorphs (eV per atom): 0.000

abc: 12.5673 12.5673 12.5673
angles: 32.36 32.36 32.36
Closest atoms and distances in Å follow each position.
Positions (direct):
Tb 0.2457 0.2457 0.2457  1 Pm 3.23, 3 Sm 3.47, 6 Tb 3.51
Tb 0.2483 0.7503 0.7503  6 Tb 3.49-3.52, 3 Pm 3.52-3.60, 2 Sm 3.58
Tb 0.2497 0.2497 0.7517  6 Tb 3.49-3.52, 3 Pm 3.52-3.60, 2 Sm 3.58
Tb 0.2497 0.7517 0.2497  6 Tb 3.49-3.52, 3 Pm 3.52-3.60, 2 Sm 3.58
Tb 0.7503 0.2483 0.7503  6 Tb 3.49-3.52, 3 Pm 3.52-3.60, 2 Sm 3.58
Tb 0.7503 0.7503 0.2483  6 Tb 3.49-3.52, 3 Pm 3.52-3.60, 2 Sm 3.58
Tb 0.7517 0.2497 0.2497  6 Tb 3.49-3.52, 3 Pm 3.52-3.60, 2 Sm 3.58
Tb 0.7543 0.7543 0.7543  1 Pm 3.23, 3 Sm 3.47, 6 Tb 3.51
Pm 0.0000 0.0000 0.0000  6 Tb 3.60
Pm 0.3364 0.3364 0.3364  4 Tb 3.23-3.52
Pm 0.5000 0.5000 0.5000  6 Sm 3.50, 6 Tb 3.59
Pm 0.6636 0.6636 0.6636  4 Tb 3.23-3.52
Sm 0.0000 0.0000 0.5000  6 Tb 3.47-3.58, 2 Pm 3.50, 4 Sm 3.50
Sm 0.0000 0.5000 0.0000  6 Tb 3.47-3.58, 4 Sm 3.50, 2 Pm 3.50
Sm 0.5000 0.0000 0.0000  6 Tb 3.47-3.58, 4 Sm 3.50, 2 Pm 3.50

=====

Tb4Pm5Sm3 | PBE-GGA | optimized geometry

Results
E_form (eV/atom): 0.22
Relative energy among the computed polymorphs (eV per atom): 0.202

abc: 8.6667 8.6667 9.3599
angles: 114.46 114.46 40.41
Closest atoms and distances in Å follow each position.
Positions (direct):
Tb 0.0815 0.0815 0.4410  2 Tb 3.29-3.69, 1 Sm 3.44, 3 Pm 3.48-3.58
Tb 0.2131 0.2131 0.8779  3 Sm 3.31-3.56, 3 Tb 3.63-3.69, 3 Pm 3.67-3.69
Tb 0.7869 0.7869 0.1221  3 Sm 3.31-3.56, 3 Tb 3.63-3.69, 3 Pm 3.67-3.69
Tb 0.9185 0.9185 0.5590  2 Tb 3.29-3.69, 1 Sm 3.44, 3 Pm 3.48-3.58
Pm 0.0000 0.0000 0.0000  4 Sm 2.99-3.10
Pm 0.3266 0.3266 0.6128  4 Sm 3.25-3.50, 3 Tb 3.48-3.58
Pm 0.4244 0.4244 0.3007  2 Sm 3.28-3.53, 1 Pm 3.45, 2 Tb 3.67
Pm 0.5756 0.5756 0.6993  2 Sm 3.28-3.53, 1 Pm 3.45, 2 Tb 3.67
Pm 0.6734 0.6734 0.3872  4 Sm 3.25-3.50, 3 Tb 3.48-3.58
Sm 0.2079 0.2079 0.2277  3 Pm 3.10-3.28, 2 Tb 3.31-3.44
Sm 0.5000 0.5000 0.0000  2 Pm 2.99
Sm 0.7921 0.7921 0.7723  3 Pm 3.10-3.28, 2 Tb 3.31-3.44

=====

Tb2Pm12Sm5 | PBE-GGA | optimized geometry

Results
E_form (eV/atom): 0.12
Relative energy among the computed polymorphs (eV per atom): 0.000

abc: 9.2356 9.2356 8.8276
angles: 92.56 92.56 60.62
Closest atoms and distances in Å follow each position.
Positions (direct):
Tb 0.1701 0.8299 0.0000  1 Tb 3.17, 6 Pm 3.38-3.50
Tb 0.8299 0.1701 0.0000  1 Tb 3.17, 6 Pm 3.38-3.50
Pm 0.0572 0.0572 0.3430  7 Pm 3.40-3.65, 2 Sm 3.41-3.74, 2 Tb 3.50
Pm 0.0654 0.6723 0.3186  4 Sm 3.43-3.82, 5 Pm 3.48-3.67, 1 Tb 3.60
Pm 0.1714 0.5327 0.7610  4 Pm 3.37-3.73, 1 Tb 3.38, 2 Sm 3.56-3.64
Pm 0.3277 0.9346 0.6814  4 Sm 3.43-3.82, 5 Pm 3.48-3.67, 1 Tb 3.60
Pm 0.4271 0.4271 0.1204  3 Pm 3.23-3.48, 2 Tb 3.47, 2 Sm 3.49-3.54
Pm 0.4673 0.8286 0.2390  4 Pm 3.37-3.73, 1 Tb 3.38, 2 Sm 3.56-3.64
Pm 0.5327 0.1714 0.7610  4 Pm 3.37-3.73, 1 Tb 3.38, 2 Sm 3.56-3.64
Pm 0.5729 0.5729 0.8796  3 Pm 3.23-3.48, 2 Tb 3.47, 2 Sm 3.49-3.54
Pm 0.6723 0.0654 0.3186  4 Sm 3.43-3.82, 5 Pm 3.48-3.67, 1 Tb 3.60
Pm 0.8286 0.4673 0.2390  4 Pm 3.37-3.73, 1 Tb 3.38, 2 Sm 3.56-3.64
Pm 0.9346 0.3277 0.6814  4 Sm 3.43-3.82, 5 Pm 3.48-3.67, 1 Tb 3.60
Pm 0.9428 0.9428 0.6570  7 Pm 3.40-3.65, 2 Sm 3.41-3.74, 2 Tb 3.50
Sm 0.2077 0.2077 0.0322  8 Pm 3.54-3.80, 1 Sm 3.61, 2 Tb 3.67
Sm 0.2679 0.2679 0.4325  7 Pm 3.41-3.67, 2 Sm 3.61-3.72
Sm 0.5000 0.5000 0.5000  10 Pm 3.49-3.82, 2 Sm 3.72
Sm 0.7321 0.7321 0.5675  7 Pm 3.41-3.67, 2 Sm 3.61-3.72
Sm 0.7923 0.7923 0.9678  8 Pm 3.54-3.80, 1 Sm 3.61, 2 Tb 3.67

=====

Tb5Pm3Sm | PBE-GGA | optimized geometry

Results
E_form (eV/atom): 0.30
Relative energy among the computed polymorphs (eV per atom): 0.039

abc: 10.6034 10.6034 11.5601
angles: 120.39 120.39 33.70
Closest atoms and distances in Å follow each position.
Positions (direct):
Tb 0.0427 0.6776 0.3566  2 Pm 3.10-3.40
Tb 0.0755 0.9245 0.7500  2 Sm 2.99-3.16
Tb 0.1188 0.5240 0.6631  5 Tb 3.38-3.74, 2 Pm 3.44-3.52, 1 Sm 3.68
Tb 0.3224 0.9573 0.1434  2 Pm 3.10-3.40
Tb 0.4760 0.8812 0.8369  5 Tb 3.38-3.74, 2 Pm 3.44-3.52, 1 Sm 3.68
Tb 0.5240 0.1188 0.1631  5 Tb 3.38-3.74, 2 Pm 3.44-3.52, 1 Sm 3.68
Tb 0.6776 0.0427 0.8566  2 Pm 3.10-3.40
Tb 0.8812 0.4760 0.3369  5 Tb 3.38-3.74, 2 Pm 3.44-3.52, 1 Sm 3.68
Tb 0.9245 0.0755 0.2500  2 Sm 2.99-3.16
Tb 0.9573 0.3224 0.6434  2 Pm 3.10-3.40
Pm 0.0995 0.5372 0.9647  1 Pm 3.30, 4 Tb 3.40-3.57, 1 Sm 3.50
Pm 0.4628 0.9005 0.5353  1 Pm 3.30, 4 Tb 3.40-3.57, 1 Sm 3.50
Pm 0.5000 0.5000 0.0000  2 Sm 2.94, 2 Tb 3.10
Pm 0.5000 0.5000 0.5000  2 Sm 2.94, 2 Tb 3.10
Pm 0.5372 0.0995 0.4647  1 Pm 3.30, 4 Tb 3.40-3.57, 1 Sm 3.50
Pm 0.9005 0.4628 0.0353  1 Pm 3.30, 4 Tb 3.40-3.57, 1 Sm 3.50
Sm 0.4106 0.5894 0.2500  2 Pm 2.94, 2 Tb 2.99-3.16
Sm 0.5894 0.4106 0.7500  2 Pm 2.94, 2 Tb 2.99-3.16

=====

Tb3Pm12Sm | PBE-GGA | optimized geometry

Results
E_form (eV/atom): 0.01

abc: 5.1364 5.1364 20.5086
angles: 90.00 90.00 90.00
Closest atoms and distances in Å follow each position.
Positions (direct):
Tb 0.0000 0.0000 0.0000  12 Pm 3.63
Tb 0.0000 0.0000 0.2495  12 Pm 3.62-3.63
Tb 0.0000 0.0000 0.7505  12 Pm 3.62-3.63
Pm 0.0000 0.5000 0.1248  8 Pm 3.62-3.63, 4 Tb 3.62-3.63
Pm 0.0000 0.5000 0.3743  2 Tb 3.63, 8 Pm 3.63-3.64, 2 Sm 3.64
Pm 0.0000 0.5000 0.6257  2 Tb 3.63, 8 Pm 3.63-3.64, 2 Sm 3.64
Pm 0.0000 0.5000 0.8752  8 Pm 3.62-3.63, 4 Tb 3.62-3.63
Pm 0.5000 0.0000 0.1248  8 Pm 3.62-3.63, 4 Tb 3.62-3.63
Pm 0.5000 0.0000 0.3743  2 Tb 3.63, 8 Pm 3.63-3.64, 2 Sm 3.64
Pm 0.5000 0.0000 0.6257  2 Tb 3.63, 8 Pm 3.63-3.64, 2 Sm 3.64
Pm 0.5000 0.0000 0.8752  8 Pm 3.62-3.63, 4 Tb 3.62-3.63
Pm 0.5000 0.5000 0.0000  8 Pm 3.63, 4 Tb 3.63
Pm 0.5000 0.5000 0.2493  8 Pm 3.62-3.63, 4 Tb 3.63
Pm 0.5000 0.5000 0.5000  4 Sm 3.63, 8 Pm 3.64
Pm 0.5000 0.5000 0.7507  8 Pm 3.62-3.63, 4 Tb 3.63
Sm 0.0000 0.0000 0.5000  12 Pm 3.63-3.64

=====

Tb2Pm5Sm4 | PBE-GGA | optimized geometry

Results
E_form (eV/atom): 0.19
Relative energy among the computed polymorphs (eV per atom): 0.054

abc: 11.0772 11.0772 11.0772
angles: 161.49 117.05 66.23
Closest atoms and distances in Å follow each position.
Positions (direct):
Tb 0.2030 0.2030 0.0000  6 Pm 3.41-3.71, 2 Tb 3.56
Tb 0.7970 0.7970 0.0000  6 Pm 3.41-3.71, 2 Tb 3.56
Pm 0.0000 0.5000 0.5000  4 Sm 3.54, 2 Pm 3.56
Pm 0.1129 0.8211 0.2919  4 Pm 3.33-3.56, 3 Sm 3.34-3.43, 3 Tb 3.41-3.71
Pm 0.4708 0.1789 0.2919  4 Pm 3.33-3.56, 3 Sm 3.34-3.43, 3 Tb 3.41-3.71
Pm 0.5292 0.8211 0.7081  4 Pm 3.33-3.56, 3 Sm 3.34-3.43, 3 Tb 3.41-3.71
Pm 0.8871 0.1789 0.7081  4 Pm 3.33-3.56, 3 Sm 3.34-3.43, 3 Tb 3.41-3.71
Sm 0.2641 0.0000 0.2641  4 Pm 3.34-3.54, 6 Sm 3.56-3.65
Sm 0.4112 0.4112 0.0000  7 Sm 3.30-3.65, 4 Pm 3.43
Sm 0.5888 0.5888 0.0000  7 Sm 3.30-3.65, 4 Pm 3.43
Sm 0.7359 0.0000 0.7359  4 Pm 3.34-3.54, 6 Sm 3.56-3.65

=====

TbPm4Sm2 | PBE-GGA | optimized geometry

Results
E_form (eV/atom): 0.01
Relative energy among the computed polymorphs (eV per atom): 0.000

abc: 20.8151 20.8151 20.8151
angles: 10.01 10.01 10.01
Closest atoms and distances in Å follow each position.
Positions (direct):
Tb 0.0000 0.0000 0.0000  6 Pm 3.60, 6 Tb 3.63
Pm 0.1427 0.1427 0.1427  9 Pm 3.63-3.64, 3 Sm 3.63
Pm 0.2862 0.2862 0.2862  3 Tb 3.60, 6 Pm 3.63, 3 Sm 3.64
Pm 0.7138 0.7138 0.7138  3 Tb 3.60, 6 Pm 3.63, 3 Sm 3.64
Pm 0.8573 0.8573 0.8573  9 Pm 3.63-3.64, 3 Sm 3.63
Sm 0.4283 0.4283 0.4283  6 Sm 3.63, 6 Pm 3.63-3.64
Sm 0.5717 0.5717 0.5717  6 Sm 3.63, 6 Pm 3.63-3.64

=====

Tb10Pm4Sm | PBE-GGA | optimized geometry

Results
E_form (eV/atom): 0.75

abc: 9.4914 9.4914 9.4914
angles: 99.65 99.65 131.66
Closest atoms and distances in Å follow each position.
Positions (direct):
Tb 0.0494 0.3490 0.8994  1 Sm 3.35, 3 Pm 3.36
Tb 0.1500 0.0494 0.7004  1 Sm 3.35, 3 Pm 3.36
Tb 0.2500 0.7500 0.5000  4 Pm 3.36
Tb 0.3490 0.4495 0.2996  1 Sm 3.35, 3 Pm 3.36
Tb 0.4495 0.1500 0.1006  1 Sm 3.35, 3 Pm 3.36
Tb 0.5505 0.8500 0.8994  1 Sm 3.35, 3 Pm 3.36
Tb 0.6510 0.5505 0.7004  1 Sm 3.35, 3 Pm 3.36
Tb 0.7500 0.2500 0.5000  4 Pm 3.36
Tb 0.8500 0.9506 0.2996  1 Sm 3.35, 3 Pm 3.36
Tb 0.9506 0.6510 0.1006  1 Sm 3.35, 3 Pm 3.36
Pm 0.2006 0.3997 0.6003  8 Tb 3.36
Pm 0.3997 0.7994 0.1992  8 Tb 3.36
Pm 0.6003 0.2006 0.8008  8 Tb 3.36
Pm 0.7994 0.6003 0.3997  8 Tb 3.36
Sm 0.0000 0.0000 0.0000  8 Tb 3.35

=====

Question: Which of these has the highest E_form?
Answer: Tb10Pm4Sm